# ZrScB

A relaxed structure of ZrScB (PBE-GGA, Alexandria via LeMat-Bulk).

Summary:
The space-group type is No. 8. The total energy is -88.80 eV for the cell shown. The relative energy among the computed polymorphs comes out at 167 meV/atom.

```
ZrScB
1.0
7.221 0.000 -0.002
0.000 3.166 0.000
-1.307 0.000 9.339
Sc B Zr
4 4 4
Cartesian
3.022 0.000 5.713
3.676 1.583 1.043
0.758 0.000 7.925
1.412 1.583 3.255
5.537 0.000 0.887
4.883 1.583 5.556
5.418 0.000 6.106
6.071 1.583 1.437
0.725 0.000 0.944
0.071 1.583 5.614
5.481 0.000 3.457
4.827 1.583 8.127
```